Record 1
The following is a PBE+U calculation of a relaxed Y3WO crystal, from Alexandria.

The structure in extended XYZ format:
```
5
Lattice="5.464 0.000 0.000 0.000 5.464 0.000 0.000 0.000 5.464" Properties=species:S:1:pos:R:3 pbc="T T T"
O 2.732 2.732 2.732
Y 0.000 0.000 2.732
Y 0.000 2.732 0.000
W 0.000 0.000 0.000
Y 2.732 0.000 0.000
```

Output
As for the energy above the most stable polymorph in this dataset: 9.18 eV per formula unit. The calculation puts the energy at -5.303 eV per atom. The symmetry is Pm-3m, No. 221.

---

Record 2
The following is a PBE+U calculation of a relaxed WBrO2F crystal, from Alexandria.

The structure in extended XYZ format:
```
5
Lattice="3.824 0.000 0.000 0.000 3.824 0.000 0.000 0.000 5.627" Properties=species:S:1:pos:R:3 pbc="T T T"
W 1.912 1.912 2.814
O 0.000 1.912 0.000
Br 0.000 0.000 0.000
F 0.000 0.000 2.814
O 1.912 0.000 0.000
```

Output
The calculation puts the energy at -3.707 eV per atom. The symmetry is P4/mmm, No. 123.

---

Number 1: V 163 Å³/cell, size of the total moment 1.33 μB per cell, DOS at the Fermi energy 0.851 states/eV per atom. Number 2: V 82 Å³/cell, size of the total moment 4.25 μB per cell, DOS at the Fermi energy 0.233 states/eV per atom.